Record 1
This record from Alexandria describes a geometry-optimized MgGa2Co structure. The functional is PBE-GGA.

Theoretical density ... 6.03 g/cm³
Total DFT energy (no corrections) ... -3.826 eV per atom
V ... 15.3 Å³/atom
Energy of formation from the pure elements ... -137 meV per atom

Cell: 2.950 2.950 7.054 Å, 90.00 90.00 90.00°
Positions (direct):
Mg 0.000 0.000 0.000
Ga 0.500 0.500 0.299
Ga 0.500 0.500 0.701
Co 0.000 0.000 0.500

Record 2
This record from Alexandria describes a geometry-optimized MgMn2GaCo structure. The functional is PBE-GGA.

Theoretical density ... 4.54 g/cm³
Total DFT energy (no corrections) ... -5.319 eV per atom
V ... 19.2 Å³/atom
Energy of formation from the pure elements ... 695 meV per atom

Cell: 4.707 4.707 4.344 Å, 90.00 90.00 90.00°
Positions (direct):
Mg 0.000 0.000 0.000
Mn 0.000 0.500 0.500
Mn 0.500 0.000 0.500
Ga 0.500 0.500 0.500
Co 0.500 0.500 0.000